(1)
Compound: LaCo2Ag
Source: Alexandria
Functional: GGA-PBEsol
Structure: optimized geometry

Lattice parameters (Å, degrees): 4.0526 4.0526 15.6765 90.00 90.00 120.00
Space group R3m (No. 160, hexagonal axes)
Asymmetric unit:
La  0.0000  0.0000  0.0000 [3 per cell]
Co  0.0000  0.0000  0.2093 [3 per cell]
Co  0.0000  0.0000  0.5392 [3 per cell]
Ag  0.0000  0.0000  0.8000 [3 per cell]

Computed properties:
For the density of states at the Fermi level, the calculation gives 2.69 states/eV/f.u. The calculation puts the formation energy at 0.07 eV per atom.

=====

(2)
Compound: LaCoAg
Source: Alexandria
Functional: GGA-PBEsol
Structure: optimized geometry

Lattice parameters (Å, degrees): 3.4194 3.4194 10.1478 90.00 90.00 90.00
Space group I4mm (No. 107)
Asymmetric unit:
La  0.0000  0.0000  0.0000 [2 per cell]
Co  0.0000  0.0000  0.3292 [2 per cell]
Ag  0.0000  0.0000  0.7091 [2 per cell]

Computed properties:
For the density of states at the Fermi level, the calculation gives 3.04 states/eV/f.u. The calculation puts the formation energy at 0.19 eV per atom.

=====

(3)
Compound: LiY2CoAg
Source: Alexandria
Functional: GGA-PBEsol
Structure: optimized geometry

Lattice parameters (Å, degrees): 5.1547 5.1547 3.8327 90.00 90.00 90.00
Space group P4/mmm (No. 123)
Asymmetric unit:
Li  0.0000  0.0000  0.0000 [1 per cell]
Y  0.0000  0.5000  0.0000 [2 per cell]
Co  0.0000  0.0000  0.5000 [1 per cell]
Ag  0.5000  0.5000  0.5000 [1 per cell]

Computed properties:
For the density of states at the Fermi level, the calculation gives 4.55 states/eV/f.u. The calculation puts the formation energy at 0.49 eV per atom.

=====

What did the second record say?
Compound: LaCoAg
Source: Alexandria
Functional: GGA-PBEsol
Structure: optimized geometry

Lattice parameters (Å, degrees): 3.4194 3.4194 10.1478 90.00 90.00 90.00
Space group I4mm (No. 107)
Asymmetric unit:
La  0.0000  0.0000  0.0000 [2 per cell]
Co  0.0000  0.0000  0.3292 [2 per cell]
Ag  0.0000  0.0000  0.7091 [2 per cell]

Computed properties:
For the density of states at the Fermi level, the calculation gives 3.04 states/eV/f.u. The calculation puts the formation energy at 0.19 eV per atom.